(1)
Below is Cs2NaCrS4 after structural relaxation, with properties calculated at the GGA-PBE level.

```
data_Cs2NaCrS4
_space_group_name_H-M_alt 'F d d d'
_space_group_IT_number 70
_cell_length_a 6.372
_cell_length_b 13.838
_cell_length_c 24.885
_cell_angle_alpha 90.00
_cell_angle_beta 90.00
_cell_angle_gamma 90.00
loop_
_space_group_symop_operation_xyz
'x,y,z'
'-x,-y,-z'
'-x+1/4,-y+1/4,z'
'x+1/4,y+1/4,-z'
'x,-y+1/4,-z+1/4'
'-x,y+1/4,z+1/4'
'-x+1/4,y,-z+1/4'
'x+1/4,-y,z+1/4'
'x,y+1/2,z+1/2'
'-x,-y+1/2,-z+1/2'
'-x+1/4,-y+3/4,z+1/2'
'x+1/4,y+3/4,-z+1/2'
'x,-y+3/4,-z+3/4'
'-x,y+3/4,z+3/4'
'-x+1/4,y+1/2,-z+3/4'
'x+1/4,-y+1/2,z+3/4'
'x+1/2,y,z+1/2'
'-x+1/2,-y,-z+1/2'
'-x+3/4,-y+1/4,z+1/2'
'x+3/4,y+1/4,-z+1/2'
'x+1/2,-y+1/4,-z+3/4'
'-x+1/2,y+1/4,z+3/4'
'-x+3/4,y,-z+3/4'
'x+3/4,-y,z+3/4'
'x+1/2,y+1/2,z'
'-x+1/2,-y+1/2,-z'
'-x+3/4,-y+3/4,z'
'x+3/4,y+3/4,-z'
'x+1/2,-y+3/4,-z+1/4'
'-x+1/2,y+3/4,z+1/4'
'-x+3/4,y+1/2,-z+1/4'
'x+3/4,-y+1/2,z+1/4'
loop_
_atom_site_label
_atom_site_type_symbol
_atom_site_fract_x
_atom_site_fract_y
_atom_site_fract_z
Cs1 Cs 0.125 0.125 0.304
Na1 Na 0.125 0.125 0.125
Cr1 Cr 0.125 0.125 0.625
S1 S 0.063 0.284 0.825
```

Calculated values
The value obtained for the formation energy from raw total energies is -21.1 kcal/mol of atoms. As for the density: 2.84 g/cm3. The value obtained for the total DFT energy (no corrections) is -291.741 eV for the cell shown.

(2)
Below is ZrTiBeSb2 after structural relaxation, with properties calculated at the GGA-PBE level.

```
data_ZrTiBeSb2
_space_group_name_H-M_alt 'P 4/m m m'
_space_group_IT_number 123
_space_group_name_Hall '-P 4 2'
_cell_length_a 4.905
_cell_length_b 4.905
_cell_length_c 4.249
_cell_angle_alpha 90.00
_cell_angle_beta 90.00
_cell_angle_gamma 90.00
loop_
_atom_site_label
_atom_site_type_symbol
_atom_site_fract_x
_atom_site_fract_y
_atom_site_fract_z
Zr1 Zr 0.000 0.000 0.000
Ti1 Ti 0.500 0.500 0.000
Be1 Be 0.500 0.500 0.500
Sb1 Sb 0.000 0.500 0.500
```

Calculated values
The value obtained for the formation energy from raw total energies is 7.4 kcal/mol of atoms. As for the density: 6.36 g/cm3. The value obtained for the total DFT energy (no corrections) is -26.800 eV for the cell shown.